Compound: Tl2IrPt
Source: Alexandria
Functional: PBEsol
Structure: relaxed

Cell: 4.297 5.498 5.498 Å, 35.57 90.00 90.00°
Element x y z (fractional)
Tl: 0.000 0.000 0.000
Tl: 0.500 0.299 0.299
Ir: 0.000 0.733 0.733
Pt: 0.500 0.569 0.569

Fermi-level density of states: 0.57 states/eV/atom
Space group: Amm2, No. 38
Distance to the lowest polymorph of the same formula: 0 meV per atom
Formation energy: 0.297 eV per atom